#a
A plane-wave DFT calculation with PBE-GGA was carried out for a geometry-optimized Li8Mg3In2 structure.

Cell and atoms, written as POSCAR:
```
Li8Mg3In2
1.0
4.7767 0.0000 0.0001
0.0000 7.2068 1.2351
-0.0002 0.9894 7.6586
Li Mg In
8 3 2
direct
0.0000 0.9167 0.3060
0.0000 0.5933 0.6327
0.0000 0.4067 0.3673
0.0000 0.0833 0.6940
0.5000 0.4878 0.1645
0.5000 0.8835 0.6708
0.5000 0.5122 0.8355
0.5000 0.1165 0.3292
0.0000 0.2785 0.0010
0.0000 0.7215 0.9990
0.5000 0.0000 0.0000
0.5000 0.2955 0.6062
0.5000 0.7045 0.3938
```

Calculated values
The magnetization comes out at 0.000 μB/f.u. The value obtained for the density of states at the Fermi level is 0.258 states/eV per atom.

---

#b
A plane-wave DFT calculation with PBE-GGA was carried out for a geometry-optimized Li8Mg3In2 structure.

Cell and atoms, written as POSCAR:
```
Li8Mg3In2
1.0
5.7264 0.0000 0.5737
0.0000 8.3343 0.0000
-1.5458 -4.1672 5.8418
Li Mg In
8 3 2
direct
0.8440 0.5779 0.1558
0.8010 0.2226 0.4453
0.1560 0.4221 0.8442
0.4593 0.8143 0.2512
0.1990 0.7774 0.5547
0.5407 0.1857 0.7488
0.5407 0.5631 0.7488
0.4593 0.4369 0.2512
0.0000 0.8182 0.0000
0.5000 0.0000 0.0000
0.0000 0.1818 0.0000
0.7215 0.8006 0.6013
0.2785 0.1994 0.3987
```

Calculated values
The magnetization comes out at 0.000 μB/f.u. The value obtained for the density of states at the Fermi level is 0.457 states/eV per atom.

---

On energetic grounds, #a is preferred over the next structure by 51 meV per atom.

---

#a
A plane-wave DFT calculation with PBE-GGA was carried out for a geometry-optimized Li2Mg3In2 structure.

Cell and atoms, written as POSCAR:
```
Li2Mg3In2
1.0
4.6274 0.0525 0.0190
-2.2416 4.9230 0.3922
0.0271 -0.5550 6.4294
Mg In Li
3 2 2
direct
0.2912 0.5844 0.8403
0.0000 0.0000 0.0000
0.7088 0.4156 0.1597
0.4136 0.8306 0.2942
0.5864 0.1694 0.7058
0.8648 0.7323 0.5681
0.1352 0.2677 0.4319
```

Calculated values
The magnetization comes out at 0.000 μB/f.u. The value obtained for the density of states at the Fermi level is 0.333 states/eV per atom.

---

#b
A plane-wave DFT calculation with PBE-GGA was carried out for a geometry-optimized Li2Mg3In2 structure.

Cell and atoms, written as POSCAR:
```
Li2Mg3In2
1.0
-3.1965 -0.2403 3.6123
4.3512 -1.9869 0.6669
2.7693 7.1376 0.0925
Li Mg In
2 3 2
direct
0.4331 0.7262 0.1593
0.5669 0.2738 0.8407
0.2755 0.1435 0.4190
0.0000 0.0000 0.0000
0.7245 0.8565 0.5810
0.1710 0.5735 0.7445
0.8290 0.4265 0.2555
```

Calculated values
The magnetization comes out at 0.000 μB/f.u. The value obtained for the density of states at the Fermi level is 0.392 states/eV per atom.

---

On energetic grounds, #a is preferred over the next structure by 15 meV per atom.

---

#a
A plane-wave DFT calculation with PBE-GGA was carried out for a geometry-optimized LiMg5In3 structure.

Cell and atoms, written as POSCAR:
```
LiMg5In3
1.0
0.4888 0.4414 7.1473
-3.2293 -6.3633 0.7733
7.2695 -7.0117 3.2450
In Mg Li
6 10 2
direct
0.0000 0.0000 0.0000
0.7840 0.7840 0.3323
0.6399 0.6399 0.8228
0.0000 0.0000 0.5000
0.3601 0.3601 0.1772
0.2160 0.2160 0.6677
0.2716 0.7284 0.0000
0.5829 0.0320 0.6256
0.4610 0.4610 0.3854
0.7284 0.2716 0.0000
0.6920 0.6920 0.0834
0.3080 0.3080 0.9166
0.5390 0.5390 0.6146
0.0320 0.5829 0.6256
0.9680 0.4171 0.3744
0.4171 0.9680 0.3744
0.9160 0.9160 0.7881
0.0840 0.0840 0.2119
```

Calculated values
The magnetization comes out at 0.000 μB/f.u. The value obtained for the density of states at the Fermi level is 0.340 states/eV per atom.

---

#b
A plane-wave DFT calculation with PBE-GGA was carried out for a geometry-optimized LiMg5In3 structure.

Cell and atoms, written as POSCAR:
```
LiMg5In3
1.0
-4.3446 0.5330 4.5057
-6.2815 -0.9794 -5.9410
3.3126 -6.9704 4.0187
In Mg Li
6 10 2
direct
0.7500 0.3356 0.3357
0.7500 0.0000 0.6643
0.2500 0.0000 0.3357
0.7500 0.6646 0.0000
0.2500 0.6644 0.6643
0.2500 0.3354 0.0000
0.2500 0.9999 0.6700
0.7500 0.6701 0.6700
0.2500 0.3299 0.3300
0.2500 0.6700 0.0000
0.5000 0.3334 0.6668
0.0000 0.6666 0.3332
0.5000 0.6666 0.3332
0.0000 0.3334 0.6668
0.7500 0.3300 0.0000
0.7500 0.0001 0.3300
0.0000 0.0000 0.0000
0.5000 0.0000 0.0000
```

Calculated values
The magnetization comes out at 0.000 μB/f.u. The value obtained for the density of states at the Fermi level is 0.433 states/eV per atom.

---

On energetic grounds, #b is preferred over the next structure by 183 meV per atom.

---

#a
A plane-wave DFT calculation with PBE-GGA was carried out for a geometry-optimized LiMg6In3 structure.

Cell and atoms, written as POSCAR:
```
LiMg6In3
1.0
-1.5174 2.5314 -1.2515
-9.8198 -3.3779 5.0739
9.2813 8.9528 6.8556
Mg In Li
12 6 2
direct
0.2500 0.1422 0.9019
0.7500 0.8833 0.7199
0.2500 0.6099 0.8987
0.2500 0.3330 0.6844
0.7500 0.8578 0.0981
0.2500 0.1167 0.2801
0.7500 0.6670 0.3156
0.2500 0.8877 0.5190
0.7500 0.5933 0.7022
0.7500 0.3901 0.1013
0.2500 0.4067 0.2978
0.7500 0.1123 0.4810
0.2500 0.8638 0.8973
0.7500 0.3705 0.8839
0.7500 0.6303 0.5056
0.7500 0.1362 0.1027
0.2500 0.6295 0.1161
0.2500 0.3697 0.4944
0.7500 0.1145 0.6948
0.2500 0.8855 0.3052
```

Calculated values
The magnetization comes out at 0.000 μB/f.u. The value obtained for the density of states at the Fermi level is 0.357 states/eV per atom.

---

#b
A plane-wave DFT calculation with PBE-GGA was carried out for a geometry-optimized LiMg6In3 structure.

Cell and atoms, written as POSCAR:
```
LiMg6In3
1.0
7.8674 -0.1494 -2.3271
-3.0755 7.2429 -2.3271
-0.1009 -0.1494 8.2037
In Mg Li
6 12 2
direct
0.2772 0.0853 0.3907
0.9147 0.6093 0.7228
0.6093 0.7228 0.9147
0.0853 0.3907 0.2772
0.3907 0.2772 0.0853
0.7228 0.9147 0.6093
0.5760 0.3303 0.7868
0.7868 0.5760 0.3303
0.3303 0.7868 0.5760
0.4240 0.6697 0.2132
0.6697 0.2132 0.4240
0.0151 0.6887 0.1289
0.6887 0.1289 0.0151
0.3113 0.8711 0.9849
0.2132 0.4240 0.6697
0.1289 0.0151 0.6887
0.9849 0.3113 0.8711
0.8711 0.9849 0.3113
0.0000 0.0000 0.0000
0.5000 0.5000 0.5000
```

Calculated values
The magnetization comes out at 0.000 μB/f.u. The value obtained for the density of states at the Fermi level is 0.481 states/eV per atom.

---

On energetic grounds, #b is preferred over the next structure by 29 meV per atom.

---

#a
A plane-wave DFT calculation with PBE-GGA was carried out for a geometry-optimized Li3Mg2In6 structure.

Cell and atoms, written as POSCAR:
```
Li3Mg2In6
1.0
4.3543 0.0000 0.0000
0.0000 4.3543 0.0000
-2.1772 -2.1772 14.4413
Mg In Li
2 6 3
direct
0.5496 0.5496 0.0993
0.4504 0.4504 0.9007
0.8777 0.3777 0.7555
0.1223 0.6223 0.2445
0.2936 0.2936 0.5871
0.3777 0.8777 0.7555
0.6223 0.1223 0.2445
0.7064 0.7064 0.4129
0.0000 0.0000 0.0000
0.8051 0.8051 0.6102
0.1949 0.1949 0.3898
```

Calculated values
The magnetization comes out at 0.000 μB/f.u. The value obtained for the density of states at the Fermi level is 0.323 states/eV per atom.

---

#b
A plane-wave DFT calculation with PBE-GGA was carried out for a geometry-optimized Li3Mg2In6 structure.

Cell and atoms, written as POSCAR:
```
Li3Mg2In6
1.0
-1.9900 1.9660 -1.5385
-6.3888 -0.9577 7.0401
0.1935 6.0081 7.4271
In Li Mg
6 3 2
direct
0.5000 0.4050 0.4050
0.5000 0.0268 0.6585
0.5000 0.9732 0.3415
0.5000 0.5950 0.5950
0.5000 0.6585 0.0268
0.5000 0.3415 0.9732
0.5000 0.0000 0.0000
0.0000 0.2620 0.2620
0.0000 0.7380 0.7380
0.0000 0.2679 0.7321
0.0000 0.7321 0.2679
```

Calculated values
The magnetization comes out at 0.000 μB/f.u. The value obtained for the density of states at the Fermi level is 0.338 states/eV per atom.

---

On energetic grounds, #b is preferred over the next structure by 78 meV per atom.

---

#a
A plane-wave DFT calculation with PBE-GGA was carried out for a geometry-optimized Li3Mg3In structure.

Cell and atoms, written as POSCAR:
```
Li3Mg3In
1.0
-3.9991 4.7354 5.6551
1.1302 -5.9635 5.7929
7.2889 3.5228 2.2045
Li In Mg
12 4 12
direct
0.6790 0.3903 0.5135
0.4865 0.1790 0.1097
0.1097 0.4865 0.1790
0.5135 0.6790 0.3903
0.8903 0.9865 0.3210
0.6097 0.0135 0.8210
0.3210 0.8903 0.9865
0.3903 0.5135 0.6790
0.0135 0.8210 0.6097
0.1790 0.1097 0.4865
0.8210 0.6097 0.0135
0.9865 0.3210 0.8903
0.8712 0.1288 0.6288
0.3712 0.3712 0.3712
0.1288 0.6288 0.8712
0.6288 0.8712 0.1288
0.7026 0.7026 0.7026
0.2974 0.2026 0.7974
0.9448 0.9448 0.9448
0.8439 0.6561 0.3439
0.6561 0.3439 0.8439
0.2026 0.7974 0.2974
0.4448 0.5552 0.0552
0.3439 0.8439 0.6561
0.5552 0.0552 0.4448
0.1561 0.1561 0.1561
0.7974 0.2974 0.2026
0.0552 0.4448 0.5552
```

Calculated values
The magnetization comes out at 0.000 μB/f.u. The value obtained for the density of states at the Fermi level is 0.410 states/eV per atom.

---

#b
A plane-wave DFT calculation with PBE-GGA was carried out for a geometry-optimized Li3Mg3In structure.

Cell and atoms, written as POSCAR:
```
Li3Mg3In
1.0
5.5459 -0.0265 -0.0360
-1.2929 5.3932 -0.0360
-1.2929 -1.6314 5.1407
Li Mg In
3 3 1
direct
0.5456 0.9775 0.9775
0.9775 0.5456 0.9775
0.9775 0.9775 0.5456
0.5312 0.1623 0.5312
0.1623 0.5312 0.5312
0.5312 0.5312 0.1623
0.0742 0.0742 0.0742
```

Calculated values
The magnetization comes out at 0.000 μB/f.u. The value obtained for the density of states at the Fermi level is 0.420 states/eV per atom.

---

On energetic grounds, #a is preferred over the next structure by 43 meV per atom.

---

#a
A plane-wave DFT calculation with PBE-GGA was carried out for a geometry-optimized LiMg2In4 structure.

Cell and atoms, written as POSCAR:
```
LiMg2In4
1.0
-5.7199 -0.0266 -2.0052
2.7923 -4.9698 -2.0598
-0.0777 0.1251 6.0595
In Mg Li
4 2 1
direct
0.5000 0.5000 0.5000
0.5000 0.0000 0.0000
0.0000 0.0000 0.5000
0.0000 0.5000 0.0000
0.5000 0.0000 0.5000
0.5000 0.5000 0.0000
0.0000 0.0000 0.0000
```

Calculated values
The magnetization comes out at 0.000 μB/f.u. The value obtained for the density of states at the Fermi level is 0.572 states/eV per atom.

---

#b
A plane-wave DFT calculation with PBE-GGA was carried out for a geometry-optimized LiMg2In4 structure.

Cell and atoms, written as POSCAR:
```
LiMg2In4
1.0
7.5987 0.0273 -0.0474
-2.5059 7.1736 0.0474
-2.5868 -3.5719 6.1881
Li In Mg
2 8 4
direct
0.0000 0.0000 0.0000
0.7500 0.5000 0.2500
0.6331 0.7507 0.0474
0.1176 0.4143 0.3669
0.1169 0.9143 0.3676
0.2967 0.2493 0.8824
0.9526 0.5857 0.7033
0.4533 0.0857 0.2026
0.6324 0.7493 0.5467
0.7974 0.2507 0.8831
0.4951 0.3701 0.6250
0.8750 0.1299 0.5049
0.2549 0.6299 0.1250
0.3750 0.8701 0.7451
```

Calculated values
The magnetization comes out at 0.000 μB/f.u. The value obtained for the density of states at the Fermi level is 0.429 states/eV per atom.

---

On energetic grounds, #a is preferred over the next structure by 21 meV per atom.

---

#a
A plane-wave DFT calculation with PBE-GGA was carried out for a geometry-optimized Li4Mg2In structure.

Cell and atoms, written as POSCAR:
```
Li4Mg2In
1.0
-1.6741 -4.5152 -3.3645
0.8349 -2.5189 5.2410
-8.7924 1.6319 2.1850
Li In Mg
8 2 4
direct
0.5000 0.0000 0.2500
0.0000 0.5000 0.7500
0.2032 0.2031 0.0000
0.5000 0.0000 0.7500
0.0000 0.5000 0.2500
0.2031 0.2032 0.5000
0.7968 0.7969 0.0000
0.7969 0.7968 0.5000
0.5000 0.5000 0.2500
0.5000 0.5000 0.7500
0.7086 0.2913 0.5000
0.7087 0.2914 0.0000
0.2913 0.7086 0.0000
0.2914 0.7087 0.5000
```

Calculated values
The magnetization comes out at 0.000 μB/f.u. The value obtained for the density of states at the Fermi level is 0.425 states/eV per atom.

---

#b
A plane-wave DFT calculation with PBE-GGA was carried out for a geometry-optimized Li4Mg2In structure.

Cell and atoms, written as POSCAR:
```
Li4Mg2In
1.0
-1.7175 -0.4618 4.6247
2.6701 -4.1336 0.5789
6.1901 1.7469 5.1277
Li In Mg
4 1 2
direct
0.8149 0.8149 0.3702
0.0000 0.5000 0.0000
0.1851 0.1851 0.6298
0.5000 0.0000 0.0000
0.0000 0.0000 0.0000
0.3918 0.3918 0.2164
0.6082 0.6082 0.7836
```

Calculated values
The magnetization comes out at 0.000 μB/f.u. The value obtained for the density of states at the Fermi level is 0.485 states/eV per atom.

---

On energetic grounds, #a is preferred over the next structure by 240 meV per atom.